A relaxed structure of CaMgP2S. Source: the Alexandria database, functional PBE.

Values from the calculation:
ΔE_f (raw), meV per atom: -85
E above lowest polymorph, meV/atom: 0.0
VASP energy, eV/cell: -18.97

Unit cell a=4.7874 b=4.7874 c=4.9593 alpha=90.00 beta=90.00 gamma=90.00
With the nearest neighbours (Å) after each atom.
Space group P4/mmm (No. 123)
Inequivalent atoms, fractional coordinates:
Ca (0.0000, 0.0000, 0.0000) [1 per cell]  4 S 3.39, 8 P 3.45
Mg (0.5000, 0.5000, 0.5000) [1 per cell]  4 P 2.39, 2 S 2.48
P (0.0000, 0.5000, 0.5000) [2 per cell]  2 Mg 2.39
S (0.5000, 0.5000, 0.0000) [1 per cell]  2 Mg 2.48

A relaxed structure of Sc4Al5Ag2. Source: the Alexandria database, functional PBE.

Values from the calculation:
Formation energy from the elements, eV/atom: -0.341
VASP energy, eV/cell: -53.49

Unit cell a=7.1597 b=3.1215 c=9.4986 alpha=90.00 beta=93.93 gamma=90.00
With the nearest neighbours (Å) after each atom.
Space group P2/m (No. 10)
Inequivalent atoms, fractional coordinates:
Sc (0.1656, 0.0000, 0.3941) [2 per cell]  2 Ag 2.92, 8 Al 2.97-3.12, 3 Sc 3.12-3.21
Sc (0.2865, 0.0000, 0.9425) [2 per cell]  6 Al 2.98-3.10, 4 Ag 3.00, 3 Sc 3.12-3.17
Al (0.1993, 0.5000, 0.6647) [2 per cell]  1 Ag 2.71, 2 Al 2.75-2.80, 2 Sc 3.00
Al (0.4351, 0.5000, 0.2087) [2 per cell]  1 Ag 2.71, 2 Al 2.77-2.80, 2 Sc 2.98
Al (0.5000, 0.5000, 0.5000) [1 per cell]  4 Al 2.75-2.77, 4 Sc 2.97
Ag (0.0612, 0.5000, 0.1411) [2 per cell]  2 Al 2.71, 1 Ag 2.76, 6 Sc 2.92-3.00

A relaxed structure of InAsPS2. Source: the Alexandria database, functional PBE.

Values from the calculation:
ΔE_f (raw), meV per atom: 454
E above lowest polymorph, meV/atom: 0.0
VASP energy, eV/cell: -18.78

Unit cell a=4.8300 b=4.8300 c=4.8118 alpha=90.00 beta=90.00 gamma=90.00
With the nearest neighbours (Å) after each atom.
Space group P4/mmm (No. 123)
Inequivalent atoms, fractional coordinates:
In (0.0000, 0.0000, 0.0000) [1 per cell]  8 S 3.41, 4 P 3.42
As (0.5000, 0.5000, 0.5000) [1 per cell]  2 P 2.41, 4 S 2.41
P (0.5000, 0.5000, 0.0000) [1 per cell]  2 As 2.41
S (0.0000, 0.5000, 0.5000) [2 per cell]  2 As 2.41

A relaxed structure of Cs3Hg2Br6. Source: the Alexandria database, functional PBE.

Values from the calculation:
ΔE_f (raw), meV per atom: -1172
VASP energy, eV/cell: -52.18

Unit cell a=5.6519 b=5.6519 c=29.2563 alpha=90.00 beta=90.00 gamma=90.00
With the nearest neighbours (Å) after each atom.
Space group I4/mmm (No. 139)
Inequivalent atoms, fractional coordinates:
Cs (0.0000, 0.0000, 0.0000) [2 per cell]  8 Br 3.75
Cs (0.0000, 0.0000, 0.1774) [4 per cell]  9 Br 3.65-4.04
Hg (0.0000, 0.0000, 0.3994) [4 per cell]  5 Br 2.84-2.87
Br (0.0000, 0.0000, 0.3021) [4 per cell]  1 Hg 2.84
Br (0.0000, 0.5000, 0.0842) [8 per cell]  2 Hg 2.87

A relaxed structure of Sc5BiPb. Source: the Alexandria database, functional PBE.

Values from the calculation:
Formation energy from the elements, eV/atom: -0.196
VASP energy, eV/cell: -162.48

Unit cell a=8.3271 b=8.2748 c=10.5431 alpha=90.00 beta=104.70 gamma=90.00
With the nearest neighbours (Å) after each atom.
Space group C2/c (No. 15)
Inequivalent atoms, fractional coordinates:
Sc (0.0000, 0.1409, 0.2500) [4 per cell]  2 Pb 2.88, 1 Bi 2.97, 2 Sc 3.10
Sc (0.1208, 0.3582, 0.5281) [8 per cell]  3 Sc 2.97-3.31, 2 Bi 3.01-3.08, 1 Pb 3.12
Sc (0.2075, 0.1953, 0.8321) [8 per cell]  2 Bi 3.06-3.22, 4 Sc 3.10-3.38, 1 Pb 3.21
Bi (0.0000, 0.4993, 0.2500) [4 per cell]  9 Sc 2.97-3.22
Pb (0.0000, 0.0000, 0.0000) [4 per cell]  6 Sc 2.88-3.21

A relaxed structure of CrNi2Pt. Source: the Alexandria database, functional PBE.

Values from the calculation:
Formation energy from the elements, eV/atom: 0.411
VASP energy, eV/cell: -102.33

Unit cell a=6.5068 b=6.5068 c=5.0309 alpha=90.00 beta=90.00 gamma=90.00
With the nearest neighbours (Å) after each atom.
Space group I-42d (No. 122)
Inequivalent atoms, fractional coordinates:
Cr (0.0000, 0.0000, 0.0000) [4 per cell]  4 Ni 2.26, 2 Pt 2.52
Ni (0.2212, 0.2500, 0.1250) [8 per cell]  2 Cr 2.26, 2 Pt 2.52
Pt (0.0000, 0.0000, 0.5000) [4 per cell]  2 Cr 2.52, 4 Ni 2.52

A relaxed structure of Cu2NiSbW. Source: the Alexandria database, functional PBE.

Values from the calculation:
ΔE_f (raw), meV per atom: 1539
VASP energy, eV/cell: -23.35

Unit cell a=4.7170 b=4.7170 c=5.1060 alpha=90.00 beta=90.00 gamma=90.00
With the nearest neighbours (Å) after each atom.
Space group P4/mmm (No. 123)
Inequivalent atoms, fractional coordinates:
Cu (0.0000, 0.5000, 0.0000) [2 per cell]  2 W 2.36
Ni (0.0000, 0.0000, 0.5000) [1 per cell]  4 Sb 3.34, 8 Cu 3.48
Sb (0.5000, 0.5000, 0.5000) [1 per cell]  2 W 2.55
W (0.5000, 0.5000, 0.0000) [1 per cell]  4 Cu 2.36, 2 Sb 2.55

A relaxed structure of Li3Pr2HoTe6. Source: the Alexandria database, functional PBE.

Values from the calculation:
ΔE_f (raw), meV per atom: -1290
VASP energy, eV/cell: -108.42

Unit cell a=7.6868 b=13.3151 c=7.5404 alpha=90.00 beta=109.89 gamma=90.00
With the nearest neighbours (Å) after each atom.
Space group C2/m (No. 12)
Inequivalent atoms, fractional coordinates:
Li (0.0000, 0.0000, 0.0000) [2 per cell]  6 Te 3.04-3.15
Li (0.0000, 0.3328, 0.0000) [4 per cell]  6 Te 3.04-3.13
Pr (0.0000, 0.1666, 0.5000) [4 per cell]  6 Te 3.19
Ho (0.0000, 0.5000, 0.5000) [2 per cell]  6 Te 3.09-3.10
Te (0.2365, 0.5000, 0.2407) [4 per cell]  3 Li 3.05-3.15, 1 Ho 3.09, 2 Pr 3.19
Te (0.2486, 0.3384, 0.7610) [8 per cell]  3 Li 3.04-3.13, 1 Ho 3.10, 2 Pr 3.19

A relaxed structure of K4NdPu3Se8. Source: the Alexandria database, functional PBE.

Values from the calculation:
ΔE_f (raw), meV per atom: -1534
VASP energy, eV/cell: -313.72

Unit cell a=8.6085 b=8.6085 c=22.9389 alpha=90.00 beta=90.00 gamma=120.00
With the nearest neighbours (Å) after each atom.
Space group R-3m (No. 166, hexagonal axes)
Inequivalent atoms, fractional coordinates:
K (0.0000, 0.0000, 0.0000) [3 per cell]  6 Se 3.32
K (0.0000, 0.5000, 0.0000) [9 per cell]  6 Se 3.35-3.37
Nd (0.0000, 0.0000, 0.5000) [3 per cell]  6 Se 2.98
Pu (0.0000, 0.5000, 0.5000) [9 per cell]  6 Se 2.93-2.94
Se (0.0000, 0.0000, 0.2341) [6 per cell]  3 Pu 2.93
Se (0.0044, 0.5022, 0.7641) [18 per cell]  2 Pu 2.94, 1 Nd 2.98

A relaxed structure of NdUMn2. Source: the Alexandria database, functional PBE.

Values from the calculation:
Formation energy from the elements, eV/atom: 0.173
VASP energy, eV/cell: -33.70

Unit cell a=3.2858 b=3.2858 c=7.1924 alpha=90.00 beta=90.00 gamma=90.00
With the nearest neighbours (Å) after each atom.
Space group P4/mmm (No. 123)
Inequivalent atoms, fractional coordinates:
Nd (0.0000, 0.0000, 0.0000) [1 per cell]  8 Mn 3.26, 4 Nd 3.29, 2 U 3.60
U (0.0000, 0.0000, 0.5000) [1 per cell]  8 Mn 2.67
Mn (0.5000, 0.5000, 0.3172) [2 per cell]  1 Mn 2.63, 4 U 2.67

A relaxed structure of Ca2Cr2Ni15. Source: the Alexandria database, functional PBE.

Values from the calculation:
Formation energy from the elements, eV/atom: -0.060
VASP energy, eV/cell: -333.35

Unit cell a=8.3261 b=8.3261 c=12.1396 alpha=90.00 beta=90.00 gamma=120.00
With the nearest neighbours (Å) after each atom.
Space group R-3m (No. 166, hexagonal axes)
Inequivalent atoms, fractional coordinates:
Ca (0.0000, 0.0000, 0.1571) [6 per cell]  18 Ni 2.93-3.22, 1 Cr 3.18
Cr (0.0000, 0.0000, 0.4194) [6 per cell]  1 Cr 1.96
Ni (0.0000, 0.2990, 0.5000) [18 per cell]  8 Ni 2.39-2.53, 2 Cr 2.67
Ni (0.0000, 0.5000, 0.0000) [9 per cell]  8 Ni 2.38-2.39, 2 Cr 2.62
Ni (0.0061, 0.5031, 0.3433) [18 per cell]  8 Ni 2.38-2.53, 1 Cr 2.63